# ZrSc2Au6

A geometry-optimized ZrSc2Au6 structure (GGA-PBE, Alexandria). Values from VASP.

Calculated values
**E_form**: -0.657 eV per atom
**Symmetry**: No. 12

```
&SYSTEM
  ibrav = 0, nat = 9, ntyp = 3
/
ATOMIC_SPECIES
Zr 91.22 Zr.upf
Sc 44.96 Sc.upf
Au 196.97 Au.upf
ATOMIC_POSITIONS angstrom
Zr 0.504 -3.003 2.709
Sc -3.923 -8.459 4.107
Sc -2.692 -1.856 1.488
Au -3.001 -4.349 -0.034
Au -5.226 -3.280 1.549
Au -3.613 -5.965 5.629
Au -1.389 -7.034 4.046
Au -2.019 -4.422 2.773
Au -4.595 -5.893 2.823
CELL_PARAMETERS angstrom
-4.781 -0.388 1.633
-2.842 -3.921 -1.457
1.008 -6.005 5.419
```